Density functional theory data (GGA-PBE) for PuTaCoOs after structural relaxation.

Summary:
Its formation energy from the elements is 0.063 eV/atom. The density of states at the Fermi level is 32.8 states/eV per cell. The total moment is 0.990 μB per atom.

Cell lengths 6.482, 6.482, 6.482 Å; angles 90.00, 90.00, 90.00 degrees
Space group F-43m (No. 216)
Symmetry-distinct sites (fractional):
Pu1 0.000 0.000 0.000 [4 per cell]
Ta1 0.000 0.000 0.500 [4 per cell]
Co1 0.250 0.250 0.750 [4 per cell]
Os1 0.250 0.250 0.250 [4 per cell]

=====

Density functional theory data (GGA-PBE) for NaAl11Cr after structural relaxation.

Summary:
Its formation energy from the elements is -0.005 eV/atom. The density of states at the Fermi level is 10.4 states/eV per cell. The total moment is 0.013 μB per atom.

Cell lengths 5.225, 12.998, 7.039 Å; angles 90.00, 111.32, 90.00 degrees
Space group C2/m (No. 12)
Symmetry-distinct sites (fractional):
Na1 0.000 0.000 0.000 [2 per cell]
Al1 0.000 0.000 0.500 [2 per cell]
Al2 0.098 0.393 0.222 [8 per cell]
Al3 0.195 0.171 0.363 [8 per cell]
Al4 0.250 0.250 0.000 [4 per cell]
Cr1 0.000 0.500 0.500 [2 per cell]

=====

Density functional theory data (GGA-PBE) for LiDyMgIr after structural relaxation.

Summary:
Its formation energy from the elements is -0.454 eV/atom. The density of states at the Fermi level is 8.4 states/eV per cell. The total moment is 0.000 μB per atom.

Cell lengths 6.705, 6.705, 6.705 Å; angles 90.00, 90.00, 90.00 degrees
Space group F-43m (No. 216)
Symmetry-distinct sites (fractional):
Li1 0.000 0.000 0.000 [4 per cell]
Dy1 0.250 0.250 0.250 [4 per cell]
Mg1 0.250 0.250 0.750 [4 per cell]
Ir1 0.000 0.000 0.500 [4 per cell]

=====

Density functional theory data (GGA-PBE) for TlCd4Pt15 after structural relaxation.

Summary:
Its formation energy from the elements is -0.150 eV/atom. The density of states at the Fermi level is 23.5 states/eV per cell. The total moment is 0.000 μB per atom.

Cell lengths 4.045, 4.045, 20.330 Å; angles 90.00, 90.00, 90.00 degrees
Space group P4/mmm (No. 123)
Symmetry-distinct sites (fractional):
Tl1 0.000 0.000 0.000 [1 per cell]
Cd1 0.000 0.000 0.202 [2 per cell]
Cd2 0.000 0.000 0.401 [2 per cell]
Pt1 0.000 0.500 0.103 [4 per cell]
Pt2 0.000 0.500 0.301 [4 per cell]
Pt3 0.000 0.500 0.500 [2 per cell]
Pt4 0.500 0.500 0.000 [1 per cell]
Pt5 0.500 0.500 0.202 [2 per cell]
Pt6 0.500 0.500 0.401 [2 per cell]

=====

Density functional theory data (GGA-PBE) for Mg2FeCu after structural relaxation.

Summary:
Its formation energy from the elements is 0.153 eV/atom. The density of states at the Fermi level is 3.6 states/eV per cell. The total moment is 0.572 μB per atom.

Cell lengths 4.184, 4.184, 3.529 Å; angles 90.00, 90.00, 90.00 degrees
Space group P4/mmm (No. 123)
Symmetry-distinct sites (fractional):
Mg1 0.000 0.500 0.000 [2 per cell]
Fe1 0.000 0.000 0.500 [1 per cell]
Cu1 0.500 0.500 0.500 [1 per cell]

=====

Density functional theory data (GGA-PBE) for Sm3Th2ScAs6 after structural relaxation.

Summary:
Its formation energy from the elements is -1.451 eV/atom. The density of states at the Fermi level is 8.3 states/eV per cell. The total moment is 0.000 μB per atom.

Cell lengths 18.246, 4.194, 8.360 Å; angles 90.00, 103.57, 90.00 degrees
Space group C2/m (No. 12)
Symmetry-distinct sites (fractional):
Sm1 0.000 0.000 0.000 [2 per cell]
Sm2 0.167 0.500 0.335 [4 per cell]
Th1 0.163 0.500 0.828 [4 per cell]
Sc1 0.000 0.000 0.500 [2 per cell]
As1 0.002 0.500 0.264 [4 per cell]
As2 0.161 0.000 0.578 [4 per cell]
As3 0.167 0.000 0.083 [4 per cell]

=====

Density functional theory data (GGA-PBE) for ZnCd2Se after structural relaxation.

Summary:
The density of states at the Fermi level is 2.7 states/eV per cell. The total moment is 0.000 μB per atom. As for the energy relative to the lowest polymorph listed for this composition: 57 meV per atom.

Cell lengths 6.960, 4.094, 6.991 Å; angles 90.00, 110.05, 90.00 degrees
Space group C2/m (No. 12)
Symmetry-distinct sites (fractional):
Zn1 0.000 0.000 0.000 [2 per cell]
Cd1 0.249 0.500 0.248 [4 per cell]
Se1 0.000 0.500 0.500 [2 per cell]

=====

Density functional theory data (GGA-PBE) for CaTc2Hg after structural relaxation.

Summary:
Its formation energy from the elements is 0.644 eV/atom. The density of states at the Fermi level is 4.0 states/eV per cell. The total moment is 0.000 μB per atom.

Cell lengths 2.847, 4.912, 5.791 Å; angles 90.00, 90.00, 90.00 degrees
Space group Pmmm (No. 47)
Symmetry-distinct sites (fractional):
Ca1 0.000 0.000 0.000 [1 per cell]
Tc1 0.500 0.500 0.195 [2 per cell]
Hg1 0.000 0.000 0.500 [1 per cell]

=====

Density functional theory data (GGA-PBE) for La2DyMg9 after structural relaxation.

Summary:
Its formation energy from the elements is -0.053 eV/atom. The density of states at the Fermi level is 33.4 states/eV per cell. The total moment is 0.000 μB per atom.

Cell lengths 6.1067, 6.1067, 29.7612 Å; angles 90.00, 90.00, 120.00 degrees
Space group R-3m (No. 166, hexagonal axes)
Symmetry-distinct sites (fractional):
La1 0.0000 0.0000 0.1420 [6 per cell]
Dy1 0.0000 0.0000 0.0000 [3 per cell]
Mg1 0.0000 0.0000 0.3339 [6 per cell]
Mg2 0.0000 0.0000 0.5000 [3 per cell]
Mg3 0.0027 0.5013 0.9180 [18 per cell]

=====

Density functional theory data (GGA-PBE) for Ti3S4 after structural relaxation.

Summary:
The density of states at the Fermi level is 10.4 states/eV per cell. The total moment is 0.119 μB per atom. As for the energy relative to the lowest polymorph listed for this composition: 0 meV per atom.

Cell lengths 13.267, 3.367, 6.023 Å; angles 90.00, 116.69, 90.00 degrees
Space group C2/m (No. 12)
Symmetry-distinct sites (fractional):
Ti1 0.000 0.000 0.000 [2 per cell]
Ti2 0.246 0.500 0.721 [4 per cell]
S1 0.119 0.000 0.450 [4 per cell]
S2 0.130 0.500 0.963 [4 per cell]

=====

Density functional theory data (GGA-PBE) for La2HoAgC after structural relaxation.

Summary:
Its formation energy from the elements is -0.109 eV/atom. The density of states at the Fermi level is 5.2 states/eV per cell. The total moment is 0.000 μB per atom.

Cell lengths 5.241, 5.241, 4.831 Å; angles 90.00, 90.00, 90.00 degrees
Space group P4mm (No. 99)
Symmetry-distinct sites (fractional):
La1 0.000 0.500 0.000 [2 per cell]
Ho1 0.000 0.000 0.501 [1 per cell]
Ag1 0.500 0.500 0.505 [1 per cell]
C1 0.000 0.000 0.015 [1 per cell]

=====

Density functional theory data (GGA-PBE) for BWI3 after structural relaxation.

Summary:
The density of states at the Fermi level is 3.1 states/eV per cell. The total moment is 0.800 μB per atom. As for the energy relative to the lowest polymorph listed for this composition: 0 meV per atom.

Cell lengths 5.634, 5.634, 5.634 Å; angles 90.00, 90.00, 90.00 degrees
Space group Pm-3m (No. 221)
Symmetry-distinct sites (fractional):
B1 0.000 0.000 0.000 [1 per cell]
W1 0.500 0.500 0.500 [1 per cell]
I1 0.000 0.500 0.500 [3 per cell]

=====

Density functional theory data (GGA-PBE) for Cu2SnSbOs after structural relaxation.

Summary:
The density of states at the Fermi level is 3.7 states/eV per cell. The total moment is 0.059 μB per atom. Its total energy is -21.252 eV for the cell shown.

Cell lengths 4.717, 4.717, 5.014 Å; angles 90.00, 90.00, 90.00 degrees
Space group P4/mmm (No. 123)
Symmetry-distinct sites (fractional):
Cu1 0.000 0.500 0.000 [2 per cell]
Sn1 0.000 0.000 0.000 [1 per cell]
Sb1 0.500 0.500 0.500 [1 per cell]
Os1 0.000 0.000 0.500 [1 per cell]

=====

Density functional theory data (GGA-PBE) for MgPbIO2 after structural relaxation.

Summary:
The density of states at the Fermi level is 0.5 states/eV per cell. The total moment is 0.200 μB per atom. As for the energy relative to the lowest polymorph listed for this composition: 0 meV per atom.

Cell lengths 4.289, 4.289, 5.959 Å; angles 90.00, 90.00, 90.00 degrees
Space group P4/mmm (No. 123)
Symmetry-distinct sites (fractional):
Mg1 0.000 0.000 0.000 [1 per cell]
Pb1 0.500 0.500 0.500 [1 per cell]
I1 0.000 0.000 0.500 [1 per cell]
O1 0.000 0.500 0.000 [2 per cell]

=====

Density functional theory data (GGA-PBE) for PmB4Pt12 after structural relaxation.

Summary:
Its formation energy from the elements is -0.333 eV/atom. The density of states at the Fermi level is 10.5 states/eV per cell. The total moment is 0.000 μB per atom.

Cell lengths 8.000, 8.000, 8.000 Å; angles 90.00, 90.00, 90.00 degrees
Space group Im-3 (No. 204)
Symmetry-distinct sites (fractional):
Pm1 0.000 0.000 0.000 [2 per cell]
B1 0.250 0.250 0.250 [8 per cell]
Pt1 0.000 0.181 0.324 [24 per cell]

=====

Density functional theory data (GGA-PBE) for Sr2ReP after structural relaxation.

Summary:
Its formation energy from the elements is 0.004 eV/atom. The density of states at the Fermi level is 6.5 states/eV per cell. The total moment is 0.000 μB per atom.

Cell lengths 3.893, 5.165, 10.613 Å; angles 90.00, 90.00, 90.00 degrees
Space group Imm2 (No. 44)
Symmetry-distinct sites (fractional):
Sr1 0.000 0.000 0.000 [2 per cell]
Sr2 0.000 0.500 0.204 [2 per cell]
Re1 0.000 0.000 0.386 [2 per cell]
P1 0.000 0.500 0.777 [2 per cell]

=====

Density functional theory data (GGA-PBE) for AcInSn2Hg5 after structural relaxation.

Summary:
Its formation energy from the elements is 0.087 eV/atom. The density of states at the Fermi level is 5.0 states/eV per cell. The total moment is 0.000 μB per atom.

Cell lengths 5.209, 5.209, 12.102 Å; angles 90.00, 90.00, 90.00 degrees
Space group P4/mmm (No. 123)
Symmetry-distinct sites (fractional):
Ac1 0.000 0.000 0.000 [1 per cell]
In1 0.000 0.000 0.500 [1 per cell]
Sn1 0.500 0.500 0.271 [2 per cell]
Hg1 0.000 0.500 0.172 [4 per cell]
Hg2 0.500 0.500 0.500 [1 per cell]

=====

Density functional theory data (GGA-PBE) for CaAc2Dy after structural relaxation.

Summary:
Its formation energy from the elements is 0.268 eV/atom. The density of states at the Fermi level is 20.7 states/eV per cell. The total moment is 0.000 μB per atom. As for the energy relative to the lowest polymorph listed for this composition: 222 meV per atom.

Cell lengths 3.7438, 3.7438, 40.5034 Å; angles 90.00, 90.00, 120.00 degrees
Space group R-3m (No. 166, hexagonal axes)
Symmetry-distinct sites (fractional):
Ca1 0.0000 0.0000 0.0000 [3 per cell]
Ac1 0.0000 0.0000 0.4158 [6 per cell]
Dy1 0.0000 0.0000 0.5000 [3 per cell]

=====

Density functional theory data (GGA-PBE) for LiAlGe after structural relaxation.

Summary:
Its formation energy from the elements is -0.051 eV/atom. The density of states at the Fermi level is 2.3 states/eV per cell. The total moment is 0.000 μB per atom.

Cell lengths 4.4336, 4.4336, 5.6597 Å; angles 90.00, 90.00, 120.00 degrees
Space group P6_3/mmc (No. 194)
Symmetry-distinct sites (fractional):
Li1 0.3333 0.6667 0.2500 [2 per cell]
Al1 0.0000 0.0000 0.0000 [2 per cell]
Ge1 0.3333 0.6667 0.7500 [2 per cell]